Density functional theory data (GGA-PBE) for a relaxed structure of TaAsOF2.

- calculated total energy (eV per cell) = -25.504
- total magnetization (μB per atom) = 0.74
- space-group type = No. 123
- ΔE_f (raw) (kJ/mol of formula units) = -29

The structure in CIF format:
```
data_TaAsOF2
_space_group_name_H-M_alt 'P 1'
_space_group_IT_number 1
_cell_length_a 4.313
_cell_length_b 4.313
_cell_length_c 4.074
_cell_angle_alpha 90.00
_cell_angle_beta 90.00
_cell_angle_gamma 90.00
loop_
_space_group_symop_operation_xyz
'x,y,z'
loop_
_atom_site_label
_atom_site_type_symbol
_atom_site_fract_x
_atom_site_fract_y
_atom_site_fract_z
Ta1 Ta 0.000 0.000 0.000
As1 As 0.500 0.500 0.500
O1 O 0.500 0.500 0.000
F1 F 0.000 0.500 0.500
F2 F 0.500 0.000 0.500
```

Density functional theory data (GGA-PBE) for a relaxed structure of HfCdSb2Te.

- calculated total energy (eV per cell) = -17.700
- total magnetization (μB per atom) = 0.00
- space-group type = No. 123
- ΔE_f (raw) (kJ/mol of formula units) = 440

The structure in CIF format:
```
data_HfCdSb2Te
_space_group_name_H-M_alt 'P 1'
_space_group_IT_number 1
_cell_length_a 5.789
_cell_length_b 5.789
_cell_length_c 5.315
_cell_angle_alpha 90.00
_cell_angle_beta 90.00
_cell_angle_gamma 90.00
loop_
_space_group_symop_operation_xyz
'x,y,z'
loop_
_atom_site_label
_atom_site_type_symbol
_atom_site_fract_x
_atom_site_fract_y
_atom_site_fract_z
Hf1 Hf 0.000 0.000 0.000
Cd1 Cd 0.500 0.500 0.000
Sb1 Sb 0.000 0.500 0.500
Sb2 Sb 0.500 0.000 0.500
Te1 Te 0.000 0.000 0.500
```

Density functional theory data (GGA-PBE) for a relaxed structure of CaHg.

- ΔH_f (0 K) (eV/atom) = -0.554
- calculated total energy (eV per cell) = -3.411
- total magnetization (μB per atom) = 0.00
- space-group type = No. 221

The structure in CIF format:
```
data_CaHg
_space_group_name_H-M_alt 'P 1'
_space_group_IT_number 1
_cell_length_a 3.784
_cell_length_b 3.784
_cell_length_c 3.784
_cell_angle_alpha 90.00
_cell_angle_beta 90.00
_cell_angle_gamma 90.00
loop_
_space_group_symop_operation_xyz
'x,y,z'
loop_
_atom_site_label
_atom_site_type_symbol
_atom_site_fract_x
_atom_site_fract_y
_atom_site_fract_z
Ca1 Ca 0.000 0.000 0.000
Hg1 Hg 0.500 0.500 0.500
```

Question: Which formula does entry 1 have?
Answer: TaAsOF2

Question: Number 3 is which compound?
Answer: CaHg